(1)
First-principles (GGA-PBE) data for a geometry-optimized Ba2CdH structure, as listed in Alexandria.

- Symmetry: No. 10
- E above lowest polymorph: 0.054 eV/atom
- Crystal system: monoclinic
- ρ: 4.61 g/cm3

abc: 3.943 4.470 8.044
angles: 99.56 90.00 90.00
Atoms (fractional coordinates):
Ba (0.000, 0.574, 0.769)
Ba (0.000, 0.426, 0.231)
Cd (0.500, 0.000, 0.500)
H (0.500, 0.500, 0.000)

---

(2)
First-principles (GGA-PBE) data for a geometry-optimized Ba4Cd2H structure, as listed in Alexandria.

- Symmetry: No. 11
- E above lowest polymorph: 0.000 eV/atom
- Crystal system: monoclinic
- ρ: 4.40 g/cm3

abc: 7.566 8.134 10.040
angles: 90.00 108.61 90.00
Atoms (fractional coordinates):
Cd (0.223, 0.250, 0.413)
Ba (0.485, 0.494, 0.722)
Ba (0.885, 0.250, 0.066)
Cd (0.325, 0.250, 0.972)
Ba (0.063, 0.750, 0.361)
Ba (0.515, 0.994, 0.278)
Cd (0.777, 0.750, 0.587)
Ba (0.515, 0.506, 0.278)
Cd (0.675, 0.750, 0.028)
H (0.717, 0.250, 0.795)
Ba (0.485, 0.006, 0.722)
H (0.283, 0.750, 0.205)
Ba (0.937, 0.250, 0.639)
Ba (0.115, 0.750, 0.934)

---

(3)
First-principles (GGA-PBE) data for a geometry-optimized Ba3CdH2 structure, as listed in Alexandria.

- Symmetry: No. 12
- E above lowest polymorph: 0.021 eV/atom
- Crystal system: monoclinic
- ρ: 4.13 g/cm3

abc: 4.507 7.439 13.634
angles: 109.66 99.51 90.00
Atoms (fractional coordinates):
Ba (0.044, 0.824, 0.088)
H (0.291, 0.604, 0.582)
H (0.942, 0.803, 0.884)
H (0.058, 0.197, 0.116)
H (0.709, 0.396, 0.418)
Ba (0.956, 0.176, 0.912)
Ba (0.606, 0.344, 0.212)
Ba (0.230, 0.239, 0.461)
Cd (0.352, 0.134, 0.704)
Ba (0.394, 0.656, 0.788)
Cd (0.648, 0.866, 0.296)
Ba (0.770, 0.761, 0.539)

---

(4)
First-principles (GGA-PBE) data for a geometry-optimized Ba2CdH structure, as listed in Alexandria.

- Symmetry: No. 122
- E above lowest polymorph: 0.041 eV/atom
- Crystal system: tetragonal
- ρ: 4.55 g/cm3

abc: 8.082 8.082 7.172
angles: 55.71 55.71 90.00
Atoms (fractional coordinates):
Ba (0.531, 0.125, 0.250)
H (0.250, 0.750, 0.500)
Ba (0.375, 0.469, 0.750)
Cd (0.000, 0.000, 0.000)
Cd (0.750, 0.250, 0.500)
Ba (0.875, 0.781, 0.750)
Ba (0.219, 0.625, 0.250)
H (0.500, 0.500, 0.000)

---

(5)
First-principles (GGA-PBE) data for a geometry-optimized BaCd3H structure, as listed in Alexandria.

- Symmetry: No. 221
- Crystal system: cubic
- VASP energy: -7.3 eV per cell
- ρ: 5.91 g/cm3

abc: 5.112 5.112 5.112
angles: 90.00 90.00 90.00
Atoms (fractional coordinates):
Ba (0.500, 0.500, 0.500)
Cd (0.000, 0.500, 0.000)
Cd (0.000, 0.000, 0.500)
Cd (0.500, 0.000, 0.000)
H (0.000, 0.000, 0.000)

---

(6)
First-principles (GGA-PBE) data for a geometry-optimized Ba2CdH structure, as listed in Alexandria.

- Symmetry: No. 123
- E above lowest polymorph: 0.151 eV/atom
- Crystal system: tetragonal
- ρ: 5.16 g/cm3

abc: 3.828 3.828 8.521
angles: 90.00 90.00 90.00
Atoms (fractional coordinates):
Ba (0.000, 0.000, 0.223)
H (0.500, 0.500, 0.000)
Cd (0.500, 0.500, 0.500)
Ba (0.000, 0.000, 0.777)

---

> Which value of ρ does entry 3 give?

4.13 g/cm3

---

> Look up the ρ of the second one.

4.40 g/cm3

---

> ρ of number 3 (Ba3CdH2)?

4.13 g/cm3

---

> Which of these has the lowest ρ?

Ba3CdH2